Material: Tl15SnBi4
Method: DFT, PBE
State: optimized geometry

Results
M_tot   0.00 μB/atom
Symmetry   No. 123

Lattice parameters (Å, degrees): 5.0084 5.0084 24.8520 90.00 90.00 90.00
Last column: nearest neighbours and their distance in Å.
Positions (direct):
Tl 0.0000 0.0000 0.0000  8 Tl 3.48, 4 Sn 3.54
Tl 0.0000 0.0000 0.1987  8 Tl 3.52-3.55, 4 Bi 3.54
Tl 0.0000 0.0000 0.3993  8 Tl 3.54, 4 Bi 3.54
Tl 0.0000 0.0000 0.6007  8 Tl 3.54, 4 Bi 3.54
Tl 0.0000 0.0000 0.8013  8 Tl 3.52-3.55, 4 Bi 3.54
Tl 0.0000 0.5000 0.0973  8 Tl 3.48-3.55, 2 Sn 3.48, 2 Bi 3.50
Tl 0.0000 0.5000 0.2984  8 Tl 3.52-3.54, 4 Bi 3.54-3.58
Tl 0.0000 0.5000 0.5000  8 Tl 3.54, 4 Bi 3.55
Tl 0.0000 0.5000 0.7016  8 Tl 3.52-3.54, 4 Bi 3.54-3.58
Tl 0.0000 0.5000 0.9027  8 Tl 3.48-3.55, 2 Sn 3.48, 2 Bi 3.50
Tl 0.5000 0.0000 0.0973  8 Tl 3.48-3.55, 2 Sn 3.48, 2 Bi 3.50
Tl 0.5000 0.0000 0.2984  8 Tl 3.52-3.54, 4 Bi 3.54-3.58
Tl 0.5000 0.0000 0.5000  8 Tl 3.54, 4 Bi 3.55
Tl 0.5000 0.0000 0.7016  8 Tl 3.52-3.54, 4 Bi 3.54-3.58
Tl 0.5000 0.0000 0.9027  8 Tl 3.48-3.55, 2 Sn 3.48, 2 Bi 3.50
Sn 0.5000 0.5000 0.0000  12 Tl 3.48-3.54
Bi 0.5000 0.5000 0.1956  12 Tl 3.50-3.58
Bi 0.5000 0.5000 0.3989  12 Tl 3.54-3.55
Bi 0.5000 0.5000 0.6011  12 Tl 3.54-3.55
Bi 0.5000 0.5000 0.8044  12 Tl 3.50-3.58

Material: Tl2SnBi2
Method: DFT, PBE
State: optimized geometry

Results
Energy above the most stable polymorph in this dataset   55 meV per atom
M_tot   0.00 μB/atom
Symmetry   No. 127

Lattice parameters (Å, degrees): 8.1290 8.1290 5.3056 90.00 90.00 90.00
Last column: nearest neighbours and their distance in Å.
Positions (direct):
Tl 0.1739 0.3261 0.0000  6 Bi 3.46-3.66
Tl 0.3261 0.8261 0.0000  6 Bi 3.46-3.66
Tl 0.6739 0.1739 0.0000  6 Bi 3.46-3.66
Tl 0.8261 0.6739 0.0000  6 Bi 3.46-3.66
Sn 0.0000 0.0000 0.5000  4 Bi 3.17
Sn 0.5000 0.5000 0.5000  4 Bi 3.17
Bi 0.1335 0.6335 0.5000  1 Bi 3.07, 2 Sn 3.17
Bi 0.3665 0.1335 0.5000  1 Bi 3.07, 2 Sn 3.17
Bi 0.6335 0.8665 0.5000  1 Bi 3.07, 2 Sn 3.17
Bi 0.8665 0.3665 0.5000  1 Bi 3.07, 2 Sn 3.17

Material: Tl4Sn3Bi2
Method: DFT, PBE
State: optimized geometry

Results
M_tot   0.00 μB/atom
Symmetry   No. 12

Lattice parameters (Å, degrees): 6.3708 6.3708 10.4444 114.33 114.33 46.52
Last column: nearest neighbours and their distance in Å.
Positions (direct):
Tl 0.0002 0.0002 0.1732  6 Sn 3.34-3.68, 3 Tl 3.39-3.61, 3 Bi 3.47-3.59
Tl 0.9998 0.9998 0.8268  6 Sn 3.34-3.68, 3 Tl 3.39-3.61, 3 Bi 3.47-3.59
Tl 0.3350 0.3350 0.6021  4 Tl 3.32-3.39, 4 Sn 3.57-3.61, 2 Bi 3.59-3.60
Tl 0.6650 0.6650 0.3979  4 Tl 3.32-3.39, 4 Sn 3.57-3.61, 2 Bi 3.59-3.60
Sn 0.0000 0.0000 0.5000  8 Tl 3.41-3.61, 4 Bi 3.54
Sn 0.3484 0.3484 0.9520  1 Sn 3.23, 3 Bi 3.28-3.32, 3 Tl 3.34-3.59
Sn 0.6516 0.6516 0.0480  1 Sn 3.23, 3 Bi 3.28-3.32, 3 Tl 3.34-3.59
Bi 0.3216 0.3216 0.2519  5 Sn 3.28-3.54, 5 Tl 3.47-3.60
Bi 0.6784 0.6784 0.7481  5 Sn 3.28-3.54, 5 Tl 3.47-3.60

Material: Tl2SnBi2
Method: DFT, PBE
State: optimized geometry

Results
Energy above the most stable polymorph in this dataset   207 meV per atom
M_tot   0.00 μB/atom
Symmetry   No. 139

Lattice parameters (Å, degrees): 9.3780 9.3780 9.3780 152.72 152.72 38.96
Last column: nearest neighbours and their distance in Å.
Positions (direct):
Tl 0.0947 0.0947 0.0000  1 Tl 3.35, 4 Bi 3.53, 4 Sn 3.55
Tl 0.9053 0.9053 0.0000  1 Tl 3.35, 4 Bi 3.53, 4 Sn 3.55
Sn 0.5000 0.5000 0.0000  8 Tl 3.55
Bi 0.2500 0.7500 0.5000  4 Bi 3.13
Bi 0.7500 0.2500 0.5000  4 Bi 3.13

Material: Tl2SnBi2
Method: DFT, PBE
State: optimized geometry

Results
Energy above the most stable polymorph in this dataset   137 meV per atom
M_tot   0.00 μB/atom
Symmetry   No. 139

Lattice parameters (Å, degrees): 9.0896 9.0896 9.0896 151.80 151.80 40.31
Last column: nearest neighbours and their distance in Å.
Positions (direct):
Tl 0.2500 0.7500 0.5000  4 Tl 3.13
Tl 0.7500 0.2500 0.5000  4 Tl 3.13
Sn 0.0000 0.0000 0.0000  8 Bi 3.48
Bi 0.4107 0.4107 0.0000  1 Bi 3.05
Bi 0.5893 0.5893 0.0000  1 Bi 3.05

Material: Tl3Sn12Bi5
Method: DFT, PBE
State: optimized geometry

Results
M_tot   0.00 μB/atom
Symmetry   No. 230

Lattice parameters (Å, degrees): 15.6700 15.6700 15.6700 109.47 109.47 109.47
Last column: nearest neighbours and their distance in Å.
Positions (direct):
Tl 0.1250 0.2500 0.3750  8 Sn 3.09-3.36
Tl 0.1250 0.3750 0.7500  8 Sn 3.09-3.36
Tl 0.2500 0.3750 0.1250  8 Sn 3.09-3.36
Tl 0.2500 0.8750 0.6250  8 Sn 3.09-3.36
Tl 0.3750 0.1250 0.2500  8 Sn 3.09-3.36
Tl 0.3750 0.7500 0.1250  8 Sn 3.09-3.36
Tl 0.6250 0.2500 0.8750  8 Sn 3.09-3.36
Tl 0.6250 0.8750 0.7500  8 Sn 3.09-3.36
Tl 0.7500 0.1250 0.3750  8 Sn 3.09-3.36
Tl 0.7500 0.6250 0.8750  8 Sn 3.09-3.36
Tl 0.8750 0.6250 0.2500  8 Sn 3.09-3.36
Tl 0.8750 0.7500 0.6250  8 Sn 3.09-3.36
Sn 0.0704 0.2365 0.1430  2 Bi 3.07-3.17, 2 Tl 3.09-3.36, 1 Sn 3.15
Sn 0.0704 0.3339 0.9274  2 Bi 3.07-3.17, 2 Tl 3.09-3.36, 1 Sn 3.15
Sn 0.0726 0.6430 0.4064  2 Bi 3.07-3.17, 2 Tl 3.09-3.36, 1 Sn 3.15
Sn 0.0726 0.9296 0.6661  2 Bi 3.07-3.17, 2 Tl 3.09-3.36, 1 Sn 3.15
Sn 0.0936 0.7365 0.6661  2 Bi 3.07-3.17, 2 Tl 3.09-3.36, 1 Sn 3.15
Sn 0.0936 0.8570 0.4274  2 Bi 3.07-3.17, 2 Tl 3.09-3.36, 1 Sn 3.15
Sn 0.1430 0.0704 0.2365  2 Bi 3.07-3.17, 2 Tl 3.09-3.36, 1 Sn 3.15
Sn 0.1430 0.5726 0.9064  2 Bi 3.07-3.17, 2 Tl 3.09-3.36, 1 Sn 3.15
Sn 0.1661 0.2365 0.5936  2 Bi 3.07-3.17, 2 Tl 3.09-3.36, 1 Sn 3.15
Sn 0.1661 0.4296 0.5726  2 Bi 3.07-3.17, 2 Tl 3.09-3.36, 1 Sn 3.15
Sn 0.2365 0.1430 0.0704  2 Bi 3.07-3.17, 2 Tl 3.09-3.36, 1 Sn 3.15
Sn 0.2365 0.5936 0.1661  2 Bi 3.07-3.17, 2 Tl 3.09-3.36, 1 Sn 3.15
Sn 0.2635 0.3339 0.9064  2 Bi 3.07-3.17, 2 Tl 3.09-3.36, 1 Sn 3.15
Sn 0.2635 0.4296 0.3570  2 Bi 3.07-3.17, 2 Tl 3.09-3.36, 1 Sn 3.15
Sn 0.3339 0.9064 0.2635  2 Bi 3.07-3.17, 2 Tl 3.09-3.36, 1 Sn 3.15
Sn 0.3339 0.9274 0.0704  2 Bi 3.07-3.17, 2 Tl 3.09-3.36, 1 Sn 3.15
Sn 0.3570 0.2635 0.4296  2 Bi 3.07-3.17, 2 Tl 3.09-3.36, 1 Sn 3.15
Sn 0.3570 0.5936 0.9274  2 Bi 3.07-3.17, 2 Tl 3.09-3.36, 1 Sn 3.15
Sn 0.4064 0.0726 0.6430  2 Bi 3.07-3.17, 2 Tl 3.09-3.36, 1 Sn 3.15
Sn 0.4064 0.8339 0.7635  2 Bi 3.07-3.17, 2 Tl 3.09-3.36, 1 Sn 3.15
Sn 0.4274 0.0936 0.8570  2 Bi 3.07-3.17, 2 Tl 3.09-3.36, 1 Sn 3.15
Sn 0.4274 0.8339 0.5704  2 Bi 3.07-3.17, 2 Tl 3.09-3.36, 1 Sn 3.15
Sn 0.4296 0.3570 0.2635  2 Bi 3.07-3.17, 2 Tl 3.09-3.36, 1 Sn 3.15
Sn 0.4296 0.5726 0.1661  2 Bi 3.07-3.17, 2 Tl 3.09-3.36, 1 Sn 3.15
Sn 0.5704 0.4274 0.8339  2 Bi 3.07-3.17, 2 Tl 3.09-3.36, 1 Sn 3.15
Sn 0.5704 0.6430 0.7365  2 Bi 3.07-3.17, 2 Tl 3.09-3.36, 1 Sn 3.15
Sn 0.5726 0.1661 0.4296  2 Bi 3.07-3.17, 2 Tl 3.09-3.36, 1 Sn 3.15
Sn 0.5726 0.9064 0.1430  2 Bi 3.07-3.17, 2 Tl 3.09-3.36, 1 Sn 3.15
Sn 0.5936 0.1661 0.2365  2 Bi 3.07-3.17, 2 Tl 3.09-3.36, 1 Sn 3.15
Sn 0.5936 0.9274 0.3570  2 Bi 3.07-3.17, 2 Tl 3.09-3.36, 1 Sn 3.15
Sn 0.6430 0.4064 0.0726  2 Bi 3.07-3.17, 2 Tl 3.09-3.36, 1 Sn 3.15
Sn 0.6430 0.7365 0.5704  2 Bi 3.07-3.17, 2 Tl 3.09-3.36, 1 Sn 3.15
Sn 0.6661 0.0726 0.9296  2 Bi 3.07-3.17, 2 Tl 3.09-3.36, 1 Sn 3.15
Sn 0.6661 0.0936 0.7365  2 Bi 3.07-3.17, 2 Tl 3.09-3.36, 1 Sn 3.15
Sn 0.7365 0.5704 0.6430  2 Bi 3.07-3.17, 2 Tl 3.09-3.36, 1 Sn 3.15
Sn 0.7365 0.6661 0.0936  2 Bi 3.07-3.17, 2 Tl 3.09-3.36, 1 Sn 3.15
Sn 0.7635 0.4064 0.8339  2 Bi 3.07-3.17, 2 Tl 3.09-3.36, 1 Sn 3.15
Sn 0.7635 0.8570 0.9296  2 Bi 3.07-3.17, 2 Tl 3.09-3.36, 1 Sn 3.15
Sn 0.8339 0.5704 0.4274  2 Bi 3.07-3.17, 2 Tl 3.09-3.36, 1 Sn 3.15
Sn 0.8339 0.7635 0.4064  2 Bi 3.07-3.17, 2 Tl 3.09-3.36, 1 Sn 3.15
Sn 0.8570 0.4274 0.0936  2 Bi 3.07-3.17, 2 Tl 3.09-3.36, 1 Sn 3.15
Sn 0.8570 0.9296 0.7635  2 Bi 3.07-3.17, 2 Tl 3.09-3.36, 1 Sn 3.15
Sn 0.9064 0.1430 0.5726  2 Bi 3.07-3.17, 2 Tl 3.09-3.36, 1 Sn 3.15
Sn 0.9064 0.2635 0.3339  2 Bi 3.07-3.17, 2 Tl 3.09-3.36, 1 Sn 3.15
Sn 0.9274 0.0704 0.3339  2 Bi 3.07-3.17, 2 Tl 3.09-3.36, 1 Sn 3.15
Sn 0.9274 0.3570 0.5936  2 Bi 3.07-3.17, 2 Tl 3.09-3.36, 1 Sn 3.15
Sn 0.9296 0.6661 0.0726  2 Bi 3.07-3.17, 2 Tl 3.09-3.36, 1 Sn 3.15
Sn 0.9296 0.7635 0.8570  2 Bi 3.07-3.17, 2 Tl 3.09-3.36, 1 Sn 3.15
Bi 0.0000 0.0000 0.0000  6 Sn 3.17
Bi 0.0000 0.0000 0.5000  6 Sn 3.17
Bi 0.0000 0.5000 0.0000  6 Sn 3.17
Bi 0.0000 0.5000 0.5000  6 Sn 3.17
Bi 0.1250 0.7500 0.8750  4 Sn 3.07
Bi 0.1250 0.8750 0.2500  4 Sn 3.07
Bi 0.2500 0.1250 0.8750  4 Sn 3.07
Bi 0.2500 0.6250 0.3750  4 Sn 3.07
Bi 0.3750 0.2500 0.6250  4 Sn 3.07
Bi 0.3750 0.6250 0.7500  4 Sn 3.07
Bi 0.5000 0.0000 0.0000  6 Sn 3.17
Bi 0.5000 0.0000 0.5000  6 Sn 3.17
Bi 0.5000 0.5000 0.0000  6 Sn 3.17
Bi 0.5000 0.5000 0.5000  6 Sn 3.17
Bi 0.6250 0.3750 0.2500  4 Sn 3.07
Bi 0.6250 0.7500 0.3750  4 Sn 3.07
Bi 0.7500 0.3750 0.6250  4 Sn 3.07
Bi 0.7500 0.8750 0.1250  4 Sn 3.07
Bi 0.8750 0.1250 0.7500  4 Sn 3.07
Bi 0.8750 0.2500 0.1250  4 Sn 3.07

Material: Tl5SnBi4
Method: DFT, PBE
State: optimized geometry

Results
M_tot   0.00 μB/atom
Symmetry   No. 123

Lattice parameters (Å, degrees): 3.4030 3.4030 27.0759 90.00 90.00 90.00
Last column: nearest neighbours and their distance in Å.
Positions (direct):
Tl 0.0000 0.0000 0.0000  4 Tl 3.40, 8 Bi 3.61
Tl 0.0000 0.0000 0.2013  4 Tl 3.40, 8 Bi 3.65-3.66
Tl 0.0000 0.0000 0.4023  4 Tl 3.40, 4 Sn 3.58, 4 Bi 3.62
Tl 0.0000 0.0000 0.5977  4 Tl 3.40, 4 Sn 3.58, 4 Bi 3.62
Tl 0.0000 0.0000 0.7987  4 Tl 3.40, 8 Bi 3.65-3.66
Sn 0.5000 0.5000 0.5000  4 Sn 3.40, 8 Tl 3.58
Bi 0.5000 0.5000 0.0996  4 Bi 3.40, 8 Tl 3.61-3.66
Bi 0.5000 0.5000 0.3025  4 Bi 3.40, 8 Tl 3.62-3.65
Bi 0.5000 0.5000 0.6975  4 Bi 3.40, 8 Tl 3.62-3.65
Bi 0.5000 0.5000 0.9004  4 Bi 3.40, 8 Tl 3.61-3.66

Material: Tl2SnBi5
Method: DFT, PBE
State: optimized geometry

Results
M_tot   0.00 μB/atom
Symmetry   No. 107

Lattice parameters (Å, degrees): 7.2691 7.2691 7.2691 122.64 122.64 85.49
Last column: nearest neighbours and their distance in Å.
Positions (direct):
Tl 0.0000 0.5000 0.5000  10 Bi 3.53-3.74, 2 Sn 3.54
Tl 0.5000 0.0000 0.5000  10 Bi 3.53-3.74, 2 Sn 3.54
Sn 0.0550 0.0550 0.0000  4 Bi 3.30, 4 Tl 3.54
Bi 0.0168 0.0168 0.5067  1 Sn 3.30, 5 Bi 3.33-3.54, 2 Tl 3.53
Bi 0.0168 0.5101 0.0000  1 Sn 3.30, 5 Bi 3.33-3.54, 2 Tl 3.53
Bi 0.5101 0.0168 0.0000  1 Sn 3.30, 5 Bi 3.33-3.54, 2 Tl 3.53
Bi 0.5101 0.5101 0.4933  1 Sn 3.30, 5 Bi 3.33-3.54, 2 Tl 3.53
Bi 0.5578 0.5578 0.0000  4 Bi 3.33, 4 Tl 3.54

Material: Tl15Sn2Bi2
Method: DFT, PBE
State: optimized geometry

Results
M_tot   0.00 μB/atom
Symmetry   No. 166

Lattice parameters (Å, degrees): 8.7899 8.7899 8.7899 80.56 80.56 80.56
Last column: nearest neighbours and their distance in Å.
Positions (direct):
Tl 0.0000 0.0000 0.5000  8 Tl 3.26-3.45, 2 Bi 3.48
Tl 0.0000 0.3206 0.6794  8 Tl 3.45-3.64
Tl 0.0000 0.5000 0.0000  8 Tl 3.26-3.45, 2 Bi 3.48
Tl 0.0000 0.6794 0.3206  8 Tl 3.45-3.64
Tl 0.1559 0.6615 0.6615  8 Tl 3.26-3.55, 1 Bi 3.49
Tl 0.3206 0.0000 0.6794  8 Tl 3.45-3.64
Tl 0.3206 0.6794 0.0000  8 Tl 3.45-3.64
Tl 0.3385 0.3385 0.8441  8 Tl 3.26-3.55, 1 Bi 3.49
Tl 0.3385 0.8441 0.3385  8 Tl 3.26-3.55, 1 Bi 3.49
Tl 0.5000 0.0000 0.0000  8 Tl 3.26-3.45, 2 Bi 3.48
Tl 0.6615 0.1559 0.6615  8 Tl 3.27-3.55, 1 Bi 3.49
Tl 0.6615 0.6615 0.1559  8 Tl 3.26-3.55, 1 Bi 3.49
Tl 0.6794 0.0000 0.3206  8 Tl 3.45-3.64
Tl 0.6794 0.3206 0.0000  8 Tl 3.45-3.64
Tl 0.8441 0.3385 0.3385  8 Tl 3.26-3.55, 1 Bi 3.49
Sn 0.2737 0.2737 0.2737  1 Bi 3.04
Sn 0.7263 0.7263 0.7263  1 Bi 3.04
Bi 0.1005 0.1005 0.1005  1 Sn 3.04
Bi 0.8995 0.8995 0.8995  1 Sn 3.04

Material: TlSn6Bi2
Method: DFT, PBE
State: optimized geometry

Results
M_tot   0.00 μB/atom
Symmetry   No. 123

Lattice parameters (Å, degrees): 4.6791 4.6791 12.8259 90.00 90.00 90.00
Last column: nearest neighbours and their distance in Å.
Positions (direct):
Tl 0.0000 0.0000 0.0000  8 Bi 3.69
Sn 0.0000 0.0000 0.5000  12 Sn 3.31-3.44
Sn 0.0000 0.5000 0.3037  2 Bi 3.26, 8 Sn 3.31-3.44
Sn 0.0000 0.5000 0.6963  2 Bi 3.26, 8 Sn 3.31-3.44
Sn 0.5000 0.0000 0.3037  2 Bi 3.26, 8 Sn 3.31-3.44
Sn 0.5000 0.0000 0.6963  2 Bi 3.26, 8 Sn 3.31-3.44
Sn 0.5000 0.5000 0.5000  12 Sn 3.31-3.44
Bi 0.5000 0.5000 0.1267  1 Bi 3.25, 4 Sn 3.26
Bi 0.5000 0.5000 0.8733  1 Bi 3.25, 4 Sn 3.26

What formation energy values result from the calculations? In sequence: -0.01; 0.06; 0.03; 0.22; 0.15; 0.23; 0.02; 0.06; 0.09; 0.08 eV/atom.